Compound: MoS2NO
Source: Alexandria
Functional: GGA+U
Structure: relaxed

Cell and atoms, written as CIF:
```
data_MoS2NO
_space_group_name_H-M_alt 'P 4/m m m'
_space_group_IT_number 123
_space_group_name_Hall '-P 4 2'
_cell_length_a 4.142
_cell_length_b 4.142
_cell_length_c 3.910
_cell_angle_alpha 90.00
_cell_angle_beta 90.00
_cell_angle_gamma 90.00
loop_
_atom_site_label
_atom_site_fract_x
_atom_site_fract_y
_atom_site_fract_z
Mo1 0.000 0.000 0.000
S1 0.000 0.500 0.500
N1 0.500 0.500 0.000
O1 0.500 0.500 0.500
```

Calculated values
Its excess energy over the best structure of this formula in the dataset is 0.161 eV per atom. The value obtained for the calculated density is 4.7 g/cm³. The value obtained for the electronic total energy is -4.44 eV/atom. For the total magnetization, the calculation gives 0.394 μB/atom.